# meta-GGA SCAN RbSN2Cl, PBEsol geometry
# **Density of states at the Fermi level**: 1.5 states/eV/cell
# **Raw formation energy**: 787.2 kJ/mol of formula units
# **Energy**: -9.7537 eV per atom
data_RbSN2Cl
_cell_length_a 4.485
_cell_length_b 4.485
_cell_length_c 4.831
_cell_angle_alpha 90.00
_cell_angle_beta 90.00
_cell_angle_gamma 90.00
_space_group_name_H-M_alt 'P 4/m m m'
_space_group_IT_number 123
_space_group_name_Hall '-P 4 2'
loop_
_atom_site_label
_atom_site_type_symbol
_atom_site_fract_x
_atom_site_fract_y
_atom_site_fract_z
Rb1 Rb 0.000 0.000 0.000
S1 S 0.500 0.500 0.000
N1 N 0.000 0.500 0.500
Cl1 Cl 0.500 0.500 0.500


# meta-GGA SCAN Ag17Pt12, PBEsol geometry
# **Density of states at the Fermi level**: 30.2 states/eV/cell
# **Energy**: -47.4016 eV per atom
data_Ag17Pt12
_cell_length_a 9.817
_cell_length_b 9.817
_cell_length_c 9.817
_cell_angle_alpha 90.00
_cell_angle_beta 90.00
_cell_angle_gamma 90.00
_space_group_name_H-M_alt 'I -4 3 m'
_space_group_IT_number 217
_space_group_name_Hall 'I -4 2 3'
loop_
_atom_site_label
_atom_site_type_symbol
_atom_site_fract_x
_atom_site_fract_y
_atom_site_fract_z
Ag1 Ag 0.000 0.000 0.000
Ag2 Ag 0.048 0.362 0.638
Ag3 Ag 0.177 0.177 0.177
Pt1 Pt 0.092 0.092 0.720


# meta-GGA SCAN ZnRe2W, PBEsol geometry
# **Density of states at the Fermi level**: 2.1 states/eV/cell
# **Energy**: -56.1548 eV per atom
data_ZnRe2W
_cell_length_a 2.737
_cell_length_b 4.015
_cell_length_c 5.302
_cell_angle_alpha 90.00
_cell_angle_beta 90.00
_cell_angle_gamma 90.00
_space_group_name_H-M_alt 'P m m 2'
_space_group_IT_number 25
_space_group_name_Hall 'P 2 -2'
loop_
_atom_site_label
_atom_site_type_symbol
_atom_site_fract_x
_atom_site_fract_y
_atom_site_fract_z
Zn1 Zn 0.000 0.000 0.000
Re1 Re 0.000 0.000 0.494
Re2 Re 0.500 0.500 0.251
W1 W 0.500 0.500 0.752


# meta-GGA SCAN La2AlZn2, PBEsol geometry
# **Density of states at the Fermi level**: 7.7 states/eV/cell
# **Energy**: -24.5973 eV per atom
# **Offset from the most stable computed form**: 0.000 eV per atom
data_La2AlZn2
_cell_length_a 7.004
_cell_length_b 7.004
_cell_length_c 4.738
_cell_angle_alpha 90.00
_cell_angle_beta 90.00
_cell_angle_gamma 90.00
_space_group_name_H-M_alt 'P 4/m b m'
_space_group_IT_number 127
_space_group_name_Hall '-P 4 2ab'
loop_
_atom_site_label
_atom_site_type_symbol
_atom_site_fract_x
_atom_site_fract_y
_atom_site_fract_z
La1 La 0.175 0.325 0.000
Al1 Al 0.000 0.000 0.500
Zn1 Zn 0.130 0.630 0.500


# meta-GGA SCAN Li2AgTe, PBEsol geometry
# **Density of states at the Fermi level**: 1.2 states/eV/cell
# **Raw formation energy**: -163.6 kJ/mol of formula units
# **Energy**: -18.7734 eV per atom
data_Li2AgTe
_cell_length_a 3.173
_cell_length_b 3.944
_cell_length_c 5.953
_cell_angle_alpha 90.00
_cell_angle_beta 90.00
_cell_angle_gamma 90.00
_space_group_name_H-M_alt 'P m m m'
_space_group_IT_number 47
_space_group_name_Hall '-P 2 2'
loop_
_atom_site_label
_atom_site_type_symbol
_atom_site_fract_x
_atom_site_fract_y
_atom_site_fract_z
Li1 Li 0.000 0.000 0.247
Ag1 Ag 0.500 0.500 0.000
Te1 Te 0.500 0.500 0.500


# meta-GGA SCAN InSiAg2, PBEsol geometry
# **Density of states at the Fermi level**: 2.7 states/eV/cell
# **Raw formation energy**: 96.7 kJ/mol of formula units
# **Energy**: -26.2835 eV per atom
data_InSiAg2
_cell_length_a 8.926
_cell_length_b 3.111
_cell_length_c 5.263
_cell_angle_alpha 90.00
_cell_angle_beta 102.07
_cell_angle_gamma 90.00
_space_group_name_H-M_alt 'C 1 2/m 1'
_space_group_IT_number 12
_space_group_name_Hall '-C 2y'
loop_
_atom_site_label
_atom_site_type_symbol
_atom_site_fract_x
_atom_site_fract_y
_atom_site_fract_z
In1 In 0.000 0.000 0.000
Si1 Si 0.000 0.500 0.500
Ag1 Ag 0.242 0.000 0.729


# meta-GGA SCAN Sc2AsRu, PBEsol geometry
# **Density of states at the Fermi level**: 7.5 states/eV/cell
# **Energy**: -21.7934 eV per atom
data_Sc2AsRu
_cell_length_a 4.056
_cell_length_b 3.504
_cell_length_c 9.948
_cell_angle_alpha 90.00
_cell_angle_beta 90.00
_cell_angle_gamma 90.00
_space_group_name_H-M_alt 'A m m 2'
_space_group_IT_number 38
_space_group_name_Hall 'A 2 -2'
loop_
_atom_site_label
_atom_site_type_symbol
_atom_site_fract_x
_atom_site_fract_y
_atom_site_fract_z
Sc1 Sc 0.000 0.000 0.000
Sc2 Sc 0.500 0.000 0.287
As1 As 0.500 0.000 0.566
Ru1 Ru 0.000 0.000 0.728


# meta-GGA SCAN Ca2CdAs2, PBEsol geometry
# **Energy**: -19.0927 eV per atom
data_Ca2CdAs2
_cell_length_a 4.287
_cell_length_b 16.276
_cell_length_c 7.052
_cell_angle_alpha 90.00
_cell_angle_beta 90.00
_cell_angle_gamma 90.00
_space_group_name_H-M_alt 'C m c 21'
_space_group_IT_number 36
_space_group_name_Hall 'C 2c -2'
loop_
_atom_site_label
_atom_site_type_symbol
_atom_site_fract_x
_atom_site_fract_y
_atom_site_fract_z
Ca1 Ca 0.000 0.032 0.000
Ca2 Ca 0.000 0.200 0.658
Cd1 Cd 0.000 0.401 0.834
As1 As 0.000 0.181 0.226
As2 As 0.000 0.435 0.214


- energy of number 3 (ZnRe2W)?
  -56.1548 eV per atom